Density functional theory data (PBE-GGA) for OsBr3Cl after structural relaxation.

ΔE_f (raw) = 2.31 eV/f.u.
E_tot = -15.78 eV per cell
Magnetization = 1.31 Bohr magnetons per cell
ΔE to the lowest computed polymorph = 613 meV/atom

a b c (Å): 5.0302 5.0302 5.0302
angles (deg): 90.00 90.00 90.00
Closest atoms and distances in Å follow each position.
Space group Pm-3m (No. 221)
Inequivalent atoms, fractional coordinates:
Os 0.0000 0.0000 0.0000 x1  6 Br 2.52
Br 0.0000 0.0000 0.5000 x3  2 Os 2.52
Cl 0.5000 0.5000 0.5000 x1  12 Br 3.56

Density functional theory data (PBE-GGA) for OsBr3Cl after structural relaxation.

ΔE_f (raw) = -0.75 eV/f.u.
E_tot = -75.38 eV per cell
Magnetization = 8.07 Bohr magnetons per cell
ΔE to the lowest computed polymorph = 0 meV/atom

a b c (Å): 7.7043 15.3290 6.4382
angles (deg): 90.00 119.78 90.00
Closest atoms and distances in Å follow each position.
Space group Cc (No. 9)
Inequivalent atoms, fractional coordinates:
Os 0.0000 0.0656 0.0000 x4  1 Cl 2.27, 3 Br 2.42-2.53
Br 0.2043 0.0566 0.4492 x4  2 Os 2.52-2.57
Br 0.2266 0.1730 0.9903 x4  1 Os 2.42
Br 0.2954 0.4430 0.0494 x4  2 Os 2.53-2.57
Cl 0.2860 0.3342 0.5079 x4  1 Os 2.27

> What is the formula in the second record?

OsBr3Cl

> E_tot of number 2 (OsBr3Cl)?

-75.38 eV per cell

> magnetization of number 2 (OsBr3Cl)?

8.07 Bohr magnetons per cell

> Which formula does entry 1 have?

OsBr3Cl